Computed, not measured: KMgTc after structural relaxation at the GGA-PBE level of DFT.

Results
For the magnetization, the calculation gives 0.000 μB/atom. The symmetry is No. 156. Its total DFT energy (no corrections) is -3.50 eV/atom. As for the density of states at the Fermi level: 2.63 states/eV/f.u.

a b c (Å): 2.9458 2.9458 8.5496
angles (deg): 90.00 90.00 120.00
With the nearest neighbours (Å) after each atom.
Element x y z (fractional)
K1 0.0000 0.0000 0.0000  6 K 2.95
Mg1 0.6667 0.3333 0.3966  3 Tc 2.84, 6 Mg 2.95
Tc1 0.3333 0.6667 0.6619  3 Mg 2.84, 6 Tc 2.95